[1]
CsZrSb2Te: relaxed, PBE.

Cell: 5.676 5.676 5.778 Å, 90.00 90.00 90.00°
Positions (direct):
Cs 0.000 0.000 0.000
Zr 0.500 0.500 0.500
Sb 0.000 0.500 0.500
Sb 0.500 0.000 0.500
Te 0.500 0.500 0.000

Calculated values
Uncorrected energy: -4.521 eV per atom
Excess energy over the best structure of this formula in the dataset: 0.000 eV/atom
Raw formation energy: -35.0 kJ per mole of atoms
Spin magnetization: 0.0 Bohr magnetons per cell



[2]
GdDyAgBi: relaxed, PBE.

Cell: 5.335 5.335 5.335 Å, 60.00 60.00 60.00°
Positions (direct):
Gd 0.000 0.000 0.000
Dy 0.500 0.500 0.500
Ag 0.250 0.250 0.250
Bi 0.750 0.750 0.750

Calculated values
Uncorrected energy: -6.807 eV per atom
Spin magnetization: 8.1 Bohr magnetons per cell
Calculated formation energy: -10.45 kcal/mol of atoms



[3]
RbPmSm2: relaxed, PBE.

Cell: 13.684 13.684 13.684 Å, 15.51 15.51 15.51°
Positions (direct):
Rb 0.000 0.000 0.000
Pm 0.500 0.500 0.500
Sm 0.095 0.095 0.095
Sm 0.905 0.905 0.905

Calculated values
Uncorrected energy: -3.523 eV per atom
Spin magnetization: 0.0 Bohr magnetons per cell
Calculated formation energy: 6.13 kcal/mol of atoms